Record 1
A plane-wave DFT calculation with GGA-PBE was carried out for a geometry-optimized Mg2SnHg6 structure.

Output
The space-group type is I4/mmm. As for the energy relative to the elements: -11 meV/atom.

```
Mg2SnHg6
1.0
4.666 0.000 0.000
0.000 4.666 0.000
-2.333 -2.333 11.107
Mg Sn Hg
2 1 6
Direct
0.331 0.331 0.661
0.669 0.669 0.339
0.000 0.000 0.000
0.910 0.410 0.820
0.410 0.910 0.820
0.090 0.590 0.180
0.750 0.250 0.500
0.250 0.750 0.500
0.590 0.090 0.180
```

Record 2
A plane-wave DFT calculation with GGA-PBE was carried out for a geometry-optimized Mg6SnHg3 structure.

Output
The space-group type is Cmc2_1. As for the energy relative to the elements: -125 meV/atom.

```
Mg6SnHg3
1.0
-2.500 1.461 5.605
-7.681 -3.828 -2.428
5.155 -6.143 3.901
Mg Sn Hg
12 2 6
Direct
0.117 0.712 0.656
0.617 0.656 0.712
0.309 0.540 0.941
0.809 0.941 0.540
0.278 0.961 0.039
0.616 0.266 0.734
0.116 0.734 0.266
0.778 0.039 0.961
0.309 0.059 0.460
0.809 0.460 0.059
0.117 0.344 0.288
0.617 0.288 0.344
0.078 0.208 0.792
0.578 0.792 0.208
0.429 0.954 0.724
0.929 0.724 0.954
0.304 0.408 0.592
0.804 0.592 0.408
0.929 0.046 0.276
0.429 0.276 0.046
```

Record 3
A plane-wave DFT calculation with GGA-PBE was carried out for a geometry-optimized MgSn2Hg structure.

Output
The space-group type is P4/mmm. As for the energy relative to the elements: -33 meV/atom.

```
MgSn2Hg
1.0
4.550 0.000 0.000
0.000 4.669 0.000
0.000 0.000 4.669
Mg Hg Sn
1 1 2
Direct
0.500 0.000 0.000
0.500 0.500 0.500
0.000 0.000 0.500
0.000 0.500 0.000
```

no.,relative energy among the computed polymorphs (kJ/mol of atoms),VASP energy (eV/atom)
1,4.27,-1.01
2,4.64,-1.57
3,0.41,-2.51